CrGePdO after structural relaxation, computed with GGA+U.

Structure (POSCAR):
```
CrGePdO
1.0
8.407 0.000 -0.149
0.000 2.958 0.000
-1.002 0.000 5.131
Cr Ge Pd O
2 2 2 2
Direct
0.241 0.000 0.283
0.241 0.500 0.783
0.768 0.000 0.458
0.768 0.500 0.958
0.523 0.000 0.704
0.523 0.500 0.204
0.133 0.000 0.577
0.133 0.500 0.077
```

Output
Total magnetic moment (μB per atom): 0.8734
Excess energy over the best structure of this formula in the dataset (meV per atom): 160
VASP energy (eV per atom): -6.15